Compound: Ce4Te3S
Source: Alexandria
Functional: PBE
Structure: optimized geometry

Results
Its space-group type is R-3m, No. 166. For the density of states at the Fermi level, the calculation gives 25.71 states/eV per cell. The energy relative to the elements, uncorrected is -1.513 eV/atom.

Cell lengths 4.306, 4.306, 14.924 Å; angles 81.71, 81.71, 60.00 degrees
Each line ends with the local moment (μB).
Sites, in units of the cell vectors:
Ce1 0.634 0.634 0.099  0.87
Ce2 0.123 0.123 0.632  0.98
Ce3 0.366 0.366 0.901  0.87
Ce4 0.877 0.877 0.368  0.98
Te1 0.500 0.500 0.500  -0.02
Te2 0.255 0.255 0.235  -0.02
Te3 0.745 0.745 0.765  -0.02
S1 0.000 0.000 0.000  -0.03



Compound: Ce2ThTe2S2
Source: Alexandria
Functional: PBE
Structure: optimized geometry

Results
Its space-group type is I4/mmm, No. 139. For the density of states at the Fermi level, the calculation gives 13.96 states/eV per cell. The energy relative to the elements, uncorrected is -1.339 eV/atom.

Cell lengths 5.295, 5.295, 8.865 Å; angles 107.38, 107.38, 90.00 degrees
Each line ends with the local moment (μB).
Sites, in units of the cell vectors:
S1 0.000 0.500 0.000  -0.02
S2 0.500 0.000 0.000  -0.02
Ce1 0.388 0.388 0.777  1.32
Ce2 0.612 0.612 0.223  1.32
Th1 0.000 0.000 0.000  0.17
Te1 0.190 0.190 0.380  -0.02
Te2 0.810 0.810 0.620  -0.02



Compound: CeTmTe2S
Source: Alexandria
Functional: PBE
Structure: optimized geometry

Results
Its space-group type is P4/nmm, No. 129. For the density of states at the Fermi level, the calculation gives 15.34 states/eV per cell. The energy relative to the elements, uncorrected is -1.480 eV/atom.

Cell lengths 4.400, 4.400, 15.354 Å; angles 90.00, 90.00, 90.00 degrees
Each line ends with the local moment (μB).
Sites, in units of the cell vectors:
Tm1 0.000 0.500 0.895  0.00
Tm2 0.500 0.000 0.105  0.00
Te1 0.000 0.500 0.704  -0.01
Te2 0.000 0.500 0.098  0.00
Te3 0.500 0.000 0.902  0.00
Te4 0.500 0.000 0.296  -0.01
Ce1 0.000 0.500 0.392  0.72
Ce2 0.500 0.000 0.608  0.72
S1 0.500 0.500 0.500  -0.04
S2 0.000 0.000 0.500  -0.04



Compound: CeUTeS2
Source: Alexandria
Functional: PBE
Structure: optimized geometry

Results
Its space-group type is I4mm, No. 107. For the density of states at the Fermi level, the calculation gives 12.12 states/eV per cell. The energy relative to the elements, uncorrected is -1.272 eV/atom.

Cell lengths 4.449, 4.449, 7.346 Å; angles 107.63, 107.63, 90.00 degrees
Each line ends with the local moment (μB).
Sites, in units of the cell vectors:
U1 0.868 0.868 0.735  -2.63
Ce1 0.129 0.129 0.259  -1.02
Te1 0.497 0.497 0.993  0.06
S1 0.253 0.753 0.507  0.07
S2 0.753 0.253 0.507  0.07



Compound: CeTh2S3
Source: Alexandria
Functional: PBE
Structure: optimized geometry

Results
Its space-group type is P-3m1, No. 164. For the density of states at the Fermi level, the calculation gives 7.51 states/eV per cell. The energy relative to the elements, uncorrected is -1.915 eV/atom. Its excess energy over the best structure of this formula in the dataset is 3.1 meV per atom.

Cell lengths 4.022, 4.022, 9.949 Å; angles 90.00, 90.00, 120.00 degrees
Each line ends with the local moment (μB).
Sites, in units of the cell vectors:
Th1 0.333 0.667 0.668  0.01
Th2 0.667 0.333 0.332  0.01
Ce1 0.000 0.000 0.000  0.48
S1 0.333 0.667 0.164  -0.01
S2 0.000 0.000 0.500  0.00
S3 0.667 0.333 0.836  -0.01



Compound: CeThS3
Source: Alexandria
Functional: PBE
Structure: optimized geometry

Results
Its space-group type is Pnma, No. 62. For the density of states at the Fermi level, the calculation gives 26.01 states/eV per cell. The energy relative to the elements, uncorrected is -2.015 eV/atom. Its excess energy over the best structure of this formula in the dataset is 0.0 meV per atom.

Cell lengths 4.008, 7.566, 15.469 Å; angles 90.00, 90.00, 90.00 degrees
Each line ends with the local moment (μB).
Sites, in units of the cell vectors:
S1 0.250 0.508 0.102  -0.01
S2 0.750 0.835 0.222  -0.02
S3 0.250 0.008 0.398  -0.01
S4 0.750 0.492 0.898  -0.01
S5 0.250 0.665 0.722  -0.02
S6 0.250 0.872 0.929  -0.01
S7 0.750 0.335 0.278  -0.02
S8 0.250 0.372 0.571  -0.01
S9 0.750 0.628 0.429  -0.01
S10 0.250 0.165 0.778  -0.02
S11 0.750 0.992 0.602  -0.01
S12 0.750 0.128 0.071  -0.01
Th1 0.750 0.247 0.457  0.08
Th2 0.250 0.253 0.957  0.08
Th3 0.250 0.753 0.543  0.08
Th4 0.750 0.747 0.043  0.08
Ce1 0.750 0.390 0.709  0.89
Ce2 0.250 0.610 0.291  0.89
Ce3 0.750 0.890 0.791  0.89
Ce4 0.250 0.110 0.209  0.89



| no. | raw total energy (eV/atom) |
| --- | --- |
| 1 | -6.1742 |
| 2 | -6.1716 |
| 3 | -5.6429 |
| 4 | -6.9962 |
| 5 | -7.4414 |
| 6 | -7.1621 |